Below is a PBEsol-optimized structure of NaLaTi8Cu6O24, with properties calculated at the meta-GGA SCAN level.

Calculated values
formation energy from raw total energies: -2.577 eV/atom
V: 402.94 Å³/cell
crystal system: cubic

Cell: 7.386 7.386 7.386 Å, 90.00 90.00 90.00°
Space group Pm-3 (No. 200)
Symmetry-distinct sites (fractional):
Na 0.000 0.000 0.000
La 0.500 0.500 0.500
Ti 0.245 0.245 0.245
Cu 0.000 0.000 0.500
Cu 0.000 0.500 0.500
O 0.000 0.307 0.178
O 0.197 0.323 0.500